## 1
{"formula": "TbPdNO", "functional": "PBE", "state": "optimized geometry", "cell": [[-0.278, -3.447, 2.093], [-0.023, -2.647, -4.363], [5.184, -0.317, 0.165]], "species": ["O", "O", "N", "N", "Tb", "Tb", "Pd", "Pd"], "frac_coords": [[0.500, 0.336, 0.110], [0.500, 0.836, 0.890], [0.000, 0.935, 0.297], [0.000, 0.435, 0.703], [0.000, 0.481, 0.232], [0.000, 0.981, 0.768], [0.500, 0.002, 0.330], [0.500, 0.502, 0.670]], "magmom_total_mub_per_fu": 0.00}

=====

## 2
{"formula": "TbPdNO", "functional": "PBE", "state": "optimized geometry", "cell": [[4.019, 0.000, 0.000], [0.000, 4.418, 0.000], [0.000, 0.000, 6.854]], "species": ["Tb", "Tb", "O", "O", "N", "N", "Pd", "Pd"], "frac_coords": [[0.500, 0.445, 0.811], [0.500, 0.945, 0.189], [0.500, 0.443, 0.133], [0.500, 0.943, 0.867], [0.000, 0.919, 0.329], [0.000, 0.419, 0.671], [0.000, 0.947, 0.617], [0.000, 0.447, 0.383]], "magmom_total_mub_per_fu": 0.00}

=====

## 3
{"formula": "TbPdNO", "functional": "PBE", "state": "optimized geometry", "cell": [[5.550, 0.000, 0.000], [0.000, 7.678, 0.000], [0.000, 0.000, 5.458]], "species": ["N", "N", "N", "N", "Pd", "Pd", "Pd", "Pd", "Tb", "Tb", "Tb", "Tb", "O", "O", "O", "O"], "frac_coords": [[0.146, 0.349, 0.692], [0.646, 0.651, 0.692], [0.354, 0.349, 0.192], [0.854, 0.651, 0.192], [0.941, 0.532, 0.509], [0.059, 0.468, 0.009], [0.441, 0.468, 0.509], [0.559, 0.532, 0.009], [0.035, 0.141, 0.378], [0.465, 0.141, 0.878], [0.535, 0.859, 0.378], [0.965, 0.859, 0.878], [0.749, 0.030, 0.624], [0.251, 0.970, 0.124], [0.249, 0.970, 0.624], [0.751, 0.030, 0.124]], "magmom_total_mub_per_fu": 0.00}

=====

Energy above the most stable structure, in eV/atom: 1 0.372; 2 0.251; 3 0.000

=====

## 1
{"formula": "TcPdNO", "functional": "PBE", "state": "optimized geometry", "cell": [[-0.855, -5.022, -0.796], [4.914, -0.589, -1.562], [2.100, -1.493, 7.168]], "species": ["N", "N", "N", "N", "Tc", "Tc", "Tc", "Tc", "Pd", "Pd", "Pd", "Pd", "O", "O", "O", "O"], "frac_coords": [[0.579, 0.056, 0.678], [0.079, 0.944, 0.322], [0.579, 0.556, 0.322], [0.079, 0.444, 0.678], [0.024, 0.150, 0.143], [0.524, 0.350, 0.143], [0.024, 0.650, 0.857], [0.524, 0.850, 0.857], [0.432, 0.443, 0.568], [0.932, 0.057, 0.568], [0.932, 0.557, 0.432], [0.432, 0.943, 0.432], [0.167, 0.499, 0.077], [0.667, 0.001, 0.077], [0.667, 0.501, 0.923], [0.167, 0.999, 0.923]], "magmom_total_mub_per_fu": 0.00}

=====

## 2
{"formula": "TcPdNO", "functional": "PBE", "state": "optimized geometry", "cell": [[3.957, 0.000, 0.000], [0.000, 3.957, 0.000], [0.000, 0.000, 7.032]], "species": ["N", "N", "Tc", "Tc", "O", "O", "Pd", "Pd"], "frac_coords": [[0.250, 0.250, 0.649], [0.750, 0.750, 0.351], [0.750, 0.750, 0.106], [0.250, 0.250, 0.894], [0.750, 0.250, 0.000], [0.250, 0.750, 0.000], [0.750, 0.250, 0.500], [0.250, 0.750, 0.500]], "magmom_total_mub_per_fu": 0.00}

=====

## 3
{"formula": "TcPdNO", "functional": "PBE", "state": "optimized geometry", "cell": [[-2.158, -0.504, 3.155], [-1.650, -3.083, -1.622], [4.319, -3.565, 2.384]], "species": ["O", "O", "Tc", "Tc", "N", "N", "Pd", "Pd"], "frac_coords": [[0.750, 0.250, 0.000], [0.250, 0.750, 0.000], [0.750, 0.250, 0.500], [0.250, 0.750, 0.500], [0.750, 0.750, 0.379], [0.250, 0.250, 0.621], [0.250, 0.250, 0.152], [0.750, 0.750, 0.848]], "magmom_total_mub_per_fu": 0.04}

=====

## 4
{"formula": "TcPdNO", "functional": "PBE", "state": "optimized geometry", "cell": [[5.736, 0.000, 0.000], [0.000, 2.837, 0.000], [0.000, 0.000, 5.982]], "species": ["Tc", "Tc", "N", "N", "Pd", "Pd", "O", "O"], "frac_coords": [[0.483, 0.000, 0.370], [0.983, 0.000, 0.630], [0.808, 0.000, 0.354], [0.308, 0.000, 0.646], [0.045, 0.500, 0.219], [0.545, 0.500, 0.781], [0.418, 0.500, 0.139], [0.918, 0.500, 0.861]], "magmom_total_mub_per_fu": 0.00}

=====

Energy above the most stable structure, in eV/atom: 1 0.101; 2 0.269; 3 0.459; 4 0.000

=====

## 1
{"formula": "TlPdNO", "functional": "PBE", "state": "optimized geometry", "cell": [[-0.515, 0.184, -4.101], [2.666, -3.128, -0.476], [-5.597, -4.844, 0.485]], "species": ["N", "N", "Pd", "Pd", "Tl", "Tl", "O", "O"], "frac_coords": [[0.500, 0.000, 0.559], [0.000, 0.500, 0.441], [0.500, 0.500, 0.500], [0.000, 0.000, 0.500], [0.500, 0.000, 0.863], [0.000, 0.500, 0.137], [0.000, 0.000, 0.000], [0.500, 0.500, 0.000]]}

=====

## 2
{"formula": "TlPdNO", "functional": "PBE", "state": "optimized geometry", "cell": [[-1.124, 4.119, 1.861], [-4.485, -1.253, 0.065], [0.584, -1.858, 4.467]], "species": ["Tl", "Tl", "O", "O", "N", "N", "Pd", "Pd"], "frac_coords": [[0.250, 0.750, 0.500], [0.750, 0.250, 0.500], [0.750, 0.250, 0.000], [0.250, 0.750, 0.000], [0.250, 0.250, 0.579], [0.750, 0.750, 0.421], [0.250, 0.250, 0.014], [0.750, 0.750, 0.986]]}

=====

## 3
{"formula": "TlPdNO", "functional": "PBE", "state": "optimized geometry", "cell": [[-0.848, -3.129, 2.009], [5.158, -1.451, -0.081], [0.953, 3.097, 5.225]], "species": ["N", "N", "Pd", "Pd", "O", "O", "Tl", "Tl"], "frac_coords": [[0.000, 0.845, 0.297], [0.000, 0.345, 0.703], [0.000, 0.502, 0.406], [0.000, 0.002, 0.594], [0.500, 0.914, 0.782], [0.500, 0.414, 0.218], [0.500, 0.492, 0.848], [0.500, 0.992, 0.152]]}

=====

## 4
{"formula": "TlPdNO", "functional": "PBE", "state": "optimized geometry", "cell": [[6.030, 0.000, 0.000], [0.000, 3.520, 0.000], [0.000, 0.000, 6.157]], "species": ["O", "O", "Pd", "Pd", "Tl", "Tl", "N", "N"], "frac_coords": [[0.843, 0.500, 0.853], [0.343, 0.500, 0.147], [0.488, 0.500, 0.813], [0.988, 0.500, 0.187], [0.015, 0.000, 0.680], [0.515, 0.000, 0.320], [0.908, 0.000, 0.310], [0.408, 0.000, 0.690]]}

=====

Energy above the most stable structure, in eV/atom: 1 0.000; 2 0.267; 3 0.144; 4 0.173

=====

## 1
{"formula": "ZrPdNO", "functional": "PBE", "state": "optimized geometry", "cell": [[3.703, 0.000, 0.000], [0.000, 5.202, 0.000], [0.000, 0.000, 6.605]], "species": ["O", "O", "Pd", "Pd", "Zr", "Zr", "N", "N"], "frac_coords": [[0.500, 0.367, 0.110], [0.500, 0.867, 0.890], [0.000, 0.548, 0.458], [0.000, 0.048, 0.542], [0.500, 0.491, 0.824], [0.500, 0.991, 0.176], [0.000, 0.848, 0.272], [0.000, 0.348, 0.728]], "magmom_total_mub_per_fu": 0.00}

=====

## 2
{"formula": "ZrPdNO", "functional": "PBE", "state": "optimized geometry", "cell": [[-3.667, -5.498, 0.932], [5.495, -3.963, -1.760], [1.326, -0.132, 4.438]], "species": ["N", "N", "N", "N", "Pd", "Pd", "Pd", "Pd", "O", "O", "O", "O", "Zr", "Zr", "Zr", "Zr"], "frac_coords": [[0.400, 0.118, 0.050], [0.100, 0.118, 0.550], [0.900, 0.882, 0.050], [0.600, 0.882, 0.550], [0.845, 0.293, 0.551], [0.655, 0.293, 0.051], [0.345, 0.707, 0.551], [0.155, 0.707, 0.051], [0.441, 0.596, 0.051], [0.559, 0.404, 0.551], [0.941, 0.404, 0.051], [0.059, 0.596, 0.551], [0.575, 0.854, 0.050], [0.925, 0.854, 0.550], [0.425, 0.146, 0.550], [0.075, 0.146, 0.050]], "magmom_total_mub_per_fu": 0.00}

=====

## 3
{"formula": "ZrPdNO", "functional": "PBE", "state": "optimized geometry", "cell": [[-3.400, 0.454, 0.711], [-0.798, -2.686, -2.102], [0.598, -4.825, 5.937]], "species": ["Zr", "Zr", "Pd", "Pd", "N", "N", "O", "O"], "frac_coords": [[0.000, 0.500, 0.832], [0.500, 0.000, 0.168], [0.500, 0.500, 0.500], [0.000, 0.000, 0.500], [0.500, 0.000, 0.723], [0.000, 0.500, 0.277], [0.000, 0.000, 0.000], [0.500, 0.500, 0.000]], "magmom_total_mub_per_fu": 0.11}

=====

## 4
{"formula": "ZrPdNO", "functional": "PBE", "state": "optimized geometry", "cell": [[-1.517, 1.070, -4.254], [-0.774, -4.496, -0.854], [-4.085, 0.407, 1.560]], "species": ["O", "O", "Pd", "Pd", "Zr", "Zr", "N", "N"], "frac_coords": [[0.750, 0.250, 0.000], [0.250, 0.750, 0.000], [0.250, 0.250, 0.040], [0.750, 0.750, 0.960], [0.750, 0.250, 0.500], [0.250, 0.750, 0.500], [0.250, 0.250, 0.535], [0.750, 0.750, 0.465]], "magmom_total_mub_per_fu": 0.00}

=====

Energy above the most stable structure, in eV/atom: 1 0.000; 2 0.163; 3 0.326; 4 0.173

=====

## 1
{"formula": "PmPr2NO2", "functional": "PBE", "state": "optimized geometry", "cell": [[3.585, 0.000, 0.000], [-1.792, 3.104, 0.000], [0.000, 0.000, 8.765]], "species": ["O", "O", "Pr", "Pr", "Pm", "N"], "frac_coords": [[0.333, 0.667, 0.150], [0.667, 0.333, 0.850], [0.667, 0.333, 0.337], [0.333, 0.667, 0.663], [0.000, 0.000, 0.000], [0.000, 0.000, 0.500]], "magmom_total_mub_per_fu": 0.00}

=====

## 2
{"formula": "PmPr2NO2", "functional": "PBE", "state": "optimized geometry", "cell": [[-2.356, -0.576, -2.636], [3.501, 0.182, -0.736], [0.714, -8.674, 1.255]], "species": ["Pm", "Pr", "Pr", "O", "O", "N"], "frac_coords": [[0.667, 0.333, 0.338], [0.333, 0.667, 0.662], [0.000, 0.000, 0.001], [0.333, 0.667, 0.169], [0.667, 0.333, 0.838], [0.000, 0.000, 0.492]], "magmom_total_mub_per_fu": 0.00}

=====

Energy above the most stable structure, in eV/atom: 1 0.006; 2 0.000

=====

## 1
{"formula": "PmReNO", "functional": "PBE", "state": "optimized geometry", "cell": [[3.850, 0.000, 0.000], [0.000, 5.095, 0.000], [0.000, 0.000, 5.412]], "species": ["N", "N", "Re", "Re", "Pm", "Pm", "O", "O"], "frac_coords": [[0.000, 0.502, 0.671], [0.000, 0.002, 0.329], [0.500, 0.002, 0.336], [0.500, 0.502, 0.664], [0.000, 0.002, 0.793], [0.000, 0.502, 0.207], [0.500, 0.249, 0.000], [0.500, 0.749, 0.000]], "magmom_total_mub_per_fu": 0.01}

=====

## 2
{"formula": "PmReNO", "functional": "PBE", "state": "optimized geometry", "cell": [[5.526, 0.000, 0.000], [0.000, 8.021, 0.000], [0.000, 0.000, 5.401]], "species": ["O", "O", "O", "O", "Pm", "Pm", "Pm", "Pm", "N", "N", "N", "N", "Re", "Re", "Re", "Re"], "frac_coords": [[0.750, 0.494, 0.176], [0.250, 0.506, 0.676], [0.250, 0.506, 0.176], [0.750, 0.494, 0.676], [0.008, 0.349, 0.426], [0.508, 0.651, 0.426], [0.492, 0.349, 0.926], [0.992, 0.651, 0.926], [0.252, 0.100, 0.174], [0.752, 0.900, 0.174], [0.748, 0.900, 0.674], [0.248, 0.100, 0.674], [0.000, 0.037, 0.926], [0.500, 0.963, 0.926], [0.000, 0.963, 0.426], [0.500, 0.037, 0.426]], "magmom_total_mub_per_fu": 0.00}

=====

Energy above the most stable structure, in eV/atom: 1 0.176; 2 0.000

=====

## 1
{"formula": "PmSiNO", "functional": "PBE", "state": "optimized geometry", "cell": [[1.966, 1.801, 2.958], [-3.064, -0.682, 2.452], [3.043, -6.568, 1.976]], "species": ["Pm", "Pm", "O", "O", "N", "N", "Si", "Si"], "frac_coords": [[0.250, 0.250, 0.155], [0.750, 0.750, 0.845], [0.750, 0.250, 0.000], [0.250, 0.750, 0.000], [0.250, 0.250, 0.507], [0.750, 0.750, 0.493], [0.750, 0.250, 0.500], [0.250, 0.750, 0.500]], "magmom_total_mub_per_fu": 0.02}

=====

## 2
{"formula": "PmSiNO", "functional": "PBE", "state": "optimized geometry", "cell": [[-2.458, -3.690, -3.083], [3.535, -6.007, 4.370], [-3.875, -0.018, 3.111]], "species": ["Si", "Si", "Si", "Si", "Pm", "Pm", "Pm", "Pm", "N", "N", "N", "N", "O", "O", "O", "O"], "frac_coords": [[0.089, 0.086, 0.989], [0.911, 0.914, 0.489], [0.411, 0.086, 0.489], [0.589, 0.914, 0.989], [0.495, 0.638, 0.538], [0.505, 0.362, 0.038], [0.995, 0.362, 0.538], [0.005, 0.638, 0.038], [0.381, 0.049, 0.139], [0.619, 0.951, 0.639], [0.881, 0.951, 0.139], [0.119, 0.049, 0.639], [0.986, 0.725, 0.537], [0.514, 0.725, 0.037], [0.014, 0.275, 0.037], [0.486, 0.275, 0.537]], "magmom_total_mub_per_fu": 0.00}

=====

Energy above the most stable structure, in eV/atom: 1 0.160; 2 0.000